Record 1
# Pr2Er2I5N

An optimized crystal structure of Pr2Er2I5N (PBE-GGA, the Open Quantum Materials Database).

a = 9.947 Å, b = 9.947 Å, c = 8.808 Å
α = 102.31°, β = 102.31°, γ = 23.16°
Element x y z (fractional)
I 0.166 0.166 0.324
I 0.168 0.168 0.838
I 0.832 0.832 0.162
I 0.500 0.500 0.500
I 0.834 0.834 0.676
Pr 0.000 0.000 0.806
Pr 0.000 0.000 0.194
N 0.500 0.500 0.000
Er 0.379 0.379 0.941
Er 0.621 0.621 0.059

Calculated values
Total DFT energy (no corrections): -0.175 Ha/atom
Space-group type: C2/m

***

Record 2
# Er2Sc2I5N

An optimized crystal structure of Er2Sc2I5N (PBE-GGA, the Open Quantum Materials Database).

a = 10.196 Å, b = 10.196 Å, c = 8.375 Å
α = 101.60°, β = 101.60°, γ = 21.51°
Element x y z (fractional)
I 0.154 0.154 0.831
I 0.846 0.846 0.169
I 0.154 0.154 0.320
I 0.846 0.846 0.680
I 0.500 0.500 0.500
Er 0.000 0.000 0.812
Er 0.000 0.000 0.188
N 0.500 0.500 0.000
Sc 0.390 0.390 0.946
Sc 0.610 0.610 0.054

Calculated values
Total DFT energy (no corrections): -0.184 Ha/atom
Space-group type: C2/m

***

Record 3
# Sm2Er2I5N

An optimized crystal structure of Sm2Er2I5N (PBE-GGA, the Open Quantum Materials Database).

a = 9.835 Å, b = 9.835 Å, c = 8.635 Å
α = 102.24°, β = 102.24°, γ = 23.15°
Element x y z (fractional)
N 0.500 0.500 0.000
I 0.165 0.165 0.331
I 0.167 0.167 0.831
I 0.835 0.835 0.669
I 0.500 0.500 0.500
I 0.833 0.833 0.169
Er 0.622 0.622 0.060
Er 0.378 0.378 0.940
Sm 0.999 0.999 0.192
Sm 0.001 0.001 0.808

Calculated values
Total DFT energy (no corrections): -0.174 Ha/atom
Space-group type: C2/m

***

no.,magnetic moment (μB/f.u.)
1,0.0
2,0.0
3,0.0